# RbMgSn, optimized geometry, DFT GGA-PBE
data_RbMgSn
_space_group_name_H-M_alt 'P 1'
_space_group_IT_number 1
_space_group_name_Hall 'P 1'
_cell_length_a 4.9894
_cell_length_b 4.9894
_cell_length_c 8.7696
_cell_angle_alpha 90.00
_cell_angle_beta 90.00
_cell_angle_gamma 90.00
loop_
_atom_site_label
_atom_site_type_symbol
_atom_site_fract_x
_atom_site_fract_y
_atom_site_fract_z
_atom_site_occupancy
Rb1 Rb 0.0000 0.5000 0.8491 1
Rb2 Rb 0.5000 0.0000 0.1509 1
Sn1 Sn 0.0000 0.5000 0.3130 1
Sn2 Sn 0.5000 0.0000 0.6870 1
Mg1 Mg 0.5000 0.5000 0.5000 1
Mg2 Mg 0.0000 0.0000 0.5000 1
# Fermi-level density of states: 4.116 states/eV/cell
# total magnetization: 0.00 Bohr magnetons per cell
# ΔE_f: -0.179 eV/atom
# energy: -2.37 eV per atom

=====

# SrLiZr2, optimized geometry, DFT GGA-PBE
data_SrLiZr2
_space_group_name_H-M_alt 'P 1'
_space_group_IT_number 1
_space_group_name_Hall 'P 1'
_cell_length_a 6.6440
_cell_length_b 6.6440
_cell_length_c 5.2100
_cell_angle_alpha 66.93
_cell_angle_beta 66.93
_cell_angle_gamma 29.33
loop_
_atom_site_label
_atom_site_type_symbol
_atom_site_fract_x
_atom_site_fract_y
_atom_site_fract_z
_atom_site_occupancy
Li1 Li 0.7500 0.7500 0.7500 1
Sr1 Sr 0.2500 0.2500 0.2500 1
Zr1 Zr 0.0297 0.0297 0.9701 1
Zr2 Zr 0.4703 0.4703 0.5299 1
# Fermi-level density of states: 4.404 states/eV/cell
# total magnetization: 0.00 Bohr magnetons per cell
# ΔE_f: 0.342 eV/atom
# energy: -4.83 eV per atom